A:
Computed, not measured: crystalline GdIn2Ga at its relaxed geometry at the PBE level of DFT.

POSCAR file:
```
GdIn2Ga
1.0
1.703 0.983 10.949
-1.703 0.983 10.949
0.000 -1.966 10.949
Gd In Ga
1 2 1
Cartesian
0.000 0.000 0.000 Gd
0.000 0.000 3.165 In
0.000 0.000 29.684 In
0.000 0.000 16.424 Ga
```

Computed properties:
- Symmetry: R-3m



B:
Computed, not measured: crystalline GdIn2Ga at its relaxed geometry at the PBE level of DFT.

POSCAR file:
```
GdIn2Ga
1.0
4.495 0.000 0.000
0.000 4.495 0.000
0.000 0.000 4.683
Gd In Ga
1 2 1
Cartesian
0.000 0.000 0.000 Gd
0.000 2.248 2.341 In
2.248 0.000 2.341 In
2.248 2.248 0.000 Ga
```

Computed properties:
- Symmetry: P4/mmm



The structure with the least stability is A.



A:
Computed, not measured: crystalline LaGd2Ga at its relaxed geometry at the PBE level of DFT.

POSCAR file:
```
LaGd2Ga
1.0
3.611 0.000 0.000
0.000 3.611 0.000
0.000 0.000 8.969
La Gd Ga
1 2 1
Cartesian
0.000 0.000 0.000 La
1.806 1.806 2.678 Gd
1.806 1.806 6.290 Gd
0.000 0.000 4.484 Ga
```

Computed properties:
- Symmetry: P4/mmm



B:
Computed, not measured: crystalline LaGd2Ga at its relaxed geometry at the PBE level of DFT.

POSCAR file:
```
LaGd2Ga
1.0
4.846 0.000 0.000
0.000 4.846 0.000
0.000 0.000 4.804
La Gd Ga
1 2 1
Cartesian
0.000 0.000 0.000 La
0.000 2.423 2.402 Gd
2.423 0.000 2.402 Gd
2.423 2.423 0.000 Ga
```

Computed properties:
- Symmetry: P4/mmm



C:
Computed, not measured: crystalline LaGd2Ga at its relaxed geometry at the PBE level of DFT.

POSCAR file:
```
LaGd2Ga
1.0
1.770 1.022 11.888
-1.770 1.022 11.888
0.000 -2.044 11.888
La Gd Ga
1 2 1
Cartesian
0.000 0.000 0.000 La
0.000 0.000 14.814 Gd
0.000 0.000 20.850 Gd
0.000 0.000 17.832 Ga
```

Computed properties:
- Symmetry: R-3m



The structure with the least stability is C.



A:
Computed, not measured: crystalline GdLu2Ga at its relaxed geometry at the PBE level of DFT.

POSCAR file:
```
GdLu2Ga
1.0
4.679 0.000 0.000
0.000 4.679 0.000
0.000 0.000 4.649
Gd Lu Ga
1 2 1
Cartesian
0.000 0.000 0.000 Gd
0.000 2.340 2.325 Lu
2.340 0.000 2.325 Lu
2.340 2.340 0.000 Ga
```

Computed properties:
- Symmetry: P4/mmm



B:
Computed, not measured: crystalline GdLu2Ga at its relaxed geometry at the PBE level of DFT.

POSCAR file:
```
GdLu2Ga
1.0
3.474 0.000 0.000
0.000 3.474 0.000
0.000 0.000 8.753
Gd Lu Ga
1 2 1
Cartesian
0.000 0.000 0.000 Gd
1.737 1.737 2.569 Lu
1.737 1.737 6.184 Lu
0.000 0.000 4.376 Ga
```

Computed properties:
- Symmetry: P4/mmm



The structure with the least stability is A.



A:
Computed, not measured: crystalline GdLuGa2 at its relaxed geometry at the PBE level of DFT.

POSCAR file:
```
GdLuGa2
1.0
1.802 1.041 8.751
-1.802 1.041 8.751
0.000 -2.081 8.751
Gd Lu Ga
1 1 2
Cartesian
0.000 0.000 0.000 Gd
0.000 0.000 13.126 Lu
0.000 0.000 6.508 Ga
0.000 0.000 19.745 Ga
```

Computed properties:
- Symmetry: R-3m



B:
Computed, not measured: crystalline GdLuGa2 at its relaxed geometry at the PBE level of DFT.

POSCAR file:
```
GdLuGa2
1.0
0.000 3.554 3.554
3.554 0.000 3.554
3.554 3.554 0.000
Gd Lu Ga
1 1 2
Cartesian
0.000 0.000 0.000 Gd
3.554 3.554 3.554 Lu
1.777 1.777 1.777 Ga
5.332 5.332 5.332 Ga
```

Computed properties:
- Symmetry: Fm-3m



C:
Computed, not measured: crystalline GdLuGa2 at its relaxed geometry at the PBE level of DFT.

POSCAR file:
```
GdLuGa2
1.0
3.541 0.000 0.000
0.000 3.541 0.000
0.000 0.000 7.171
Gd Lu Ga
1 1 2
Cartesian
0.000 0.000 0.000 Gd
0.000 0.000 3.586 Lu
1.770 1.770 1.890 Ga
1.770 1.770 5.282 Ga
```

Computed properties:
- Symmetry: P4/mmm



The structure with the least stability is A.